Cs2DyWO6: optimized geometry, PBE+U.

Lattice parameters (Å, degrees): 5.896 6.835 6.835 120.00 90.00 90.00
Site moments in Bohr magnetons follow the coordinates.
Element x y z (fractional)
Dy  0.500  0.000  0.000  -0.03
O  0.208  0.258  0.129  0.16
O  0.792  0.129  0.871  0.16
Cs  0.128  0.333  0.667  0.00
O  0.792  0.129  0.258  0.16
O  0.208  0.871  0.129  0.16
Cs  0.872  0.667  0.333  0.00
W  0.000  0.000  0.000  -0.10
O  0.792  0.742  0.871  0.16
O  0.208  0.871  0.742  0.16

symmetry = P-3m1
size of the total moment = 1.05 μB per formula unit
total DFT energy (no corrections) = -6.4142 eV/atom